1.
# TlAgPb2Se4 (GGA-PBE, optimized geometry)
# Total moment (μB/cell): 0.00
# ΔE_f (raw) (eV/atom): -0.317
data_TlAgPb2Se4
_symmetry_space_group_name_H-M 'P 1 2/m 1'
_symmetry_Int_Tables_number 10
_symmetry_space_group_name_Hall '-P 2y'
_cell_length_a 7.227
_cell_length_b 4.297
_cell_length_c 7.292
_cell_angle_alpha 90.00
_cell_angle_beta 108.95
_cell_angle_gamma 90.00
loop_
_atom_site_label
_atom_site_type_symbol
_atom_site_fract_x
_atom_site_fract_y
_atom_site_fract_z
Tl1 Tl 0.000 0.000 0.000
Ag1 Ag 0.000 0.500 0.500
Pb1 Pb 0.500 0.000 0.500
Pb2 Pb 0.500 0.500 0.000
Se1 Se 0.233 0.000 0.738
Se2 Se 0.240 0.500 0.260

2.
# TlSbSe2 (GGA-PBE, optimized geometry)
# Total moment (μB/cell): 0.00
# ΔE_f (raw) (eV/atom): -0.044
data_TlSbSe2
_symmetry_space_group_name_H-M 'P 1 m 1'
_symmetry_Int_Tables_number 6
_symmetry_space_group_name_Hall 'P -2y'
_cell_length_a 4.164
_cell_length_b 6.001
_cell_length_c 4.443
_cell_angle_alpha 90.00
_cell_angle_beta 90.67
_cell_angle_gamma 90.00
loop_
_atom_site_label
_atom_site_type_symbol
_atom_site_fract_x
_atom_site_fract_y
_atom_site_fract_z
Tl1 Tl 0.000 0.000 0.000
Sb1 Sb 0.917 0.500 0.011
Se1 Se 0.473 0.000 0.508
Se2 Se 0.510 0.500 0.490

3.
# Sr2CeTl9 (GGA-PBE, optimized geometry)
# Total moment (μB/cell): 0.95
# ΔH_f (0 K) (meV per atom): -242
data_Sr2CeTl9
_symmetry_space_group_name_H-M 'P 4/m m m'
_symmetry_Int_Tables_number 123
_symmetry_space_group_name_Hall '-P 4 2'
_cell_length_a 4.934
_cell_length_b 4.934
_cell_length_c 14.842
_cell_angle_alpha 90.00
_cell_angle_beta 90.00
_cell_angle_gamma 90.00
loop_
_atom_site_label
_atom_site_type_symbol
_atom_site_fract_x
_atom_site_fract_y
_atom_site_fract_z
Sr1 Sr 0.000 0.000 0.170
Ce1 Ce 0.000 0.000 0.500
Tl1 Tl 0.000 0.500 0.000
Tl2 Tl 0.000 0.500 0.339
Tl3 Tl 0.500 0.500 0.168
Tl4 Tl 0.500 0.500 0.500

no.,E (Ry/atom)
1,-0.2674
2,-0.2505
3,-0.2052